1.
First-principles (PBE) data for a relaxed Ac6La3Pm crystal, as listed in Alexandria.

extended XYZ file:
```
20
Lattice="3.856 0.000 0.000 0.000 14.206 0.868 0.000 -3.696 15.057" Properties=species:S:1:pos:R:3 pbc="T T T"
Ac 2.892 4.526 10.757
Ac 0.964 5.984 5.167
Ac 2.892 11.252 1.818
Ac 0.964 -0.742 14.106
Ac 2.892 4.471 2.113
Ac 0.964 6.039 13.811
Ac 2.892 9.329 5.120
Ac 0.964 1.180 10.804
Ac 2.892 -0.055 7.401
Ac 0.964 10.565 8.523
Ac 2.892 8.491 11.419
Ac 0.964 2.019 4.505
La 2.892 2.656 13.955
La 0.964 7.854 1.970
La 2.892 7.034 8.131
La 0.964 3.475 7.794
La 2.892 0.595 1.655
La 0.964 9.915 14.269
Pm 2.892 -2.103 10.930
Pm 0.964 12.613 4.994
```

For the offset from the most stable computed form, the calculation gives 0.0000 eV/atom. The density of states at the Fermi level is 32.97 states/eV/cell. As for the space group: P2_1/m (11). The calculated formation energy comes out at 0.64 eV/f.u.


2.
First-principles (PBE) data for a relaxed AcLa2Pm crystal, as listed in Alexandria.

extended XYZ file:
```
4
Lattice="5.353 0.000 0.000 0.000 5.316 0.000 0.000 0.000 5.316" Properties=species:S:1:pos:R:3 pbc="T T T"
Ac 2.676 0.000 0.000
La 0.000 0.000 2.658
La 0.000 2.658 0.000
Pm 2.676 2.658 2.658
```

For the offset from the most stable computed form, the calculation gives 0.0000 eV/atom. The density of states at the Fermi level is 6.26 states/eV/cell. As for the space group: P4/mmm (123). The calculated formation energy comes out at 0.06 eV/f.u.


3.
First-principles (PBE) data for a relaxed Ac4La5Pm crystal, as listed in Alexandria.

extended XYZ file:
```
10
Lattice="3.706 0.000 -0.802 -1.712 8.964 -7.908 1.288 -3.027 14.913" Properties=species:S:1:pos:R:3 pbc="T T T"
Ac 2.750 -0.309 3.741
Ac -0.336 2.595 -1.553
Ac 0.533 6.245 2.462
Ac 3.619 3.341 7.757
La 0.419 2.408 1.937
La -0.287 6.119 -1.326
La 3.570 -0.183 7.529
La 0.997 4.482 -4.355
La 2.864 3.529 4.266
Pm 1.853 0.000 -0.401
```

For the offset from the most stable computed form, the calculation gives 0.0000 eV/atom. The density of states at the Fermi level is 16.50 states/eV/cell. As for the space group: C2/m (12). The calculated formation energy comes out at 1.58 eV/f.u.


4.
First-principles (PBE) data for a relaxed AcLa3Pm6 crystal, as listed in Alexandria.

extended XYZ file:
```
10
Lattice="-9.117 -4.324 -1.321 -3.805 -6.143 7.166 -6.082 -0.295 3.744" Properties=species:S:1:pos:R:3 pbc="T T T"
Ac -13.473 -9.476 6.402
La -10.046 -4.403 5.344
La -8.803 -6.640 4.087
La -5.199 -1.885 2.850
Pm -12.165 -7.492 4.001
Pm -7.352 -6.637 7.238
Pm -7.885 -4.004 2.026
Pm -7.069 -3.010 5.745
Pm -11.775 -3.844 2.577
Pm -11.257 -6.421 7.673
```

For the offset from the most stable computed form, the calculation gives 0.1515 eV/atom. The density of states at the Fermi level is 20.59 states/eV/cell. As for the space group: R3 (146). The calculated formation energy comes out at 2.73 eV/f.u.


5.
First-principles (PBE) data for a relaxed Ac3LaPm6 crystal, as listed in Alexandria.

extended XYZ file:
```
10
Lattice="-5.123 0.209 8.847 -6.484 -7.555 2.333 -0.673 -4.605 5.628" Properties=species:S:1:pos:R:3 pbc="T T T"
Ac -4.706 -6.942 9.257
Ac -7.207 -5.256 7.769
Ac -1.534 -4.024 5.116
La -10.173 -8.313 12.033
Pm -8.727 -5.341 10.830
Pm -7.446 -7.967 5.701
Pm -4.853 -2.860 7.132
Pm -3.873 -6.428 5.766
Pm -5.123 -3.742 10.911
Pm -7.761 -8.877 9.525
```

The density of states at the Fermi level is 25.38 states/eV/cell. As for the space group: R3 (146). The calculated formation energy comes out at 3.65 eV/f.u.


6.
First-principles (PBE) data for a relaxed Ac5La12Pm2 crystal, as listed in Alexandria.

extended XYZ file:
```
19
Lattice="6.390 -0.107 1.234 1.289 10.036 4.876 -0.113 -0.510 11.220" Properties=species:S:1:pos:R:3 pbc="T T T"
Ac 3.032 1.999 3.994
Ac 5.881 3.024 6.327
Ac 3.195 -0.054 0.617
Ac 1.685 6.395 11.004
Ac 4.534 7.419 13.337
La 1.043 8.385 14.171
La 1.978 5.521 3.486
La 1.267 0.174 6.702
La 4.755 6.293 5.652
La 4.075 1.181 8.726
La 2.276 4.244 7.560
La 5.290 5.174 9.771
La 2.812 3.125 11.679
La 3.491 8.237 8.605
La 5.588 3.897 13.845
La 6.299 9.244 10.629
La 6.523 1.033 3.159
Pm 0.208 1.903 9.769
Pm 0.968 7.623 6.328
```

The density of states at the Fermi level is 32.57 states/eV/cell. As for the space group: C2/m (12). The calculated formation energy comes out at 1.61 eV/f.u.


7.
First-principles (PBE) data for a relaxed Ac2La3Pm crystal, as listed in Alexandria.

extended XYZ file:
```
12
Lattice="5.996 0.001 -1.341 -0.991 9.106 -4.428 -0.969 -1.793 9.745" Properties=species:S:1:pos:R:3 pbc="T T T"
Ac 2.303 7.780 -3.775
Ac 1.733 -0.466 7.752
Ac -0.112 7.365 -0.496
Ac 4.148 -0.051 4.472
La -0.210 3.764 -0.937
La 4.246 3.550 4.914
La 3.524 2.531 1.684
La 0.512 4.784 2.293
La 2.960 5.180 -0.837
La 1.076 2.134 4.814
Pm 0.297 1.053 1.327
Pm 3.740 6.261 2.650
```

For the offset from the most stable computed form, the calculation gives 0.0000 eV/atom. The density of states at the Fermi level is 18.43 states/eV/cell. As for the space group: C2/m (12). The calculated formation energy comes out at 0.45 eV/f.u.


8.
First-principles (PBE) data for a relaxed Ac6LaPm2 crystal, as listed in Alexandria.

extended XYZ file:
```
9
Lattice="-2.740 -0.144 -2.780 2.972 -2.534 -0.054 -15.443 -18.460 16.175" Properties=species:S:1:pos:R:3 pbc="T T T"
Ac -14.595 -17.387 12.540
Ac -5.622 -9.734 6.044
Ac -10.930 -16.079 11.604
Ac -2.376 -5.855 2.645
Ac -7.685 -12.200 8.205
Ac -2.520 -2.953 -0.108
La 1.068 -1.737 -0.963
Pm -5.931 -7.030 3.465
Pm -11.184 -13.310 8.967
```

For the offset from the most stable computed form, the calculation gives 0.0000 eV/atom. The density of states at the Fermi level is 18.33 states/eV/cell. As for the space group: P-6m2 (187). The calculated formation energy comes out at 0.68 eV/f.u.


9.
First-principles (PBE) data for a relaxed Ac7La2Pm2 crystal, as listed in Alexandria.

extended XYZ file:
```
11
Lattice="-0.996 -3.593 1.284 9.533 2.185 6.042 -1.801 6.498 9.314" Properties=species:S:1:pos:R:3 pbc="T T T"
Ac 2.017 6.345 11.243
Ac -1.209 1.001 7.108
Ac 4.718 -1.255 5.397
Ac 7.944 4.089 9.533
Ac 2.553 1.704 6.604
Ac 0.000 0.000 0.000
Ac 4.182 3.386 10.036
La 0.617 3.592 9.114
La 6.119 1.498 7.526
Pm 5.832 5.861 12.493
Pm 0.904 -0.770 4.148
```

For the offset from the most stable computed form, the calculation gives 0.0000 eV/atom. The density of states at the Fermi level is 15.69 states/eV/cell. As for the space group: C2/m (12). The calculated formation energy comes out at 1.26 eV/f.u.


10.
First-principles (PBE) data for a relaxed AcLa8Pm3 crystal, as listed in Alexandria.

extended XYZ file:
```
12
Lattice="7.292 0.274 -5.117 -3.198 8.249 -1.087 -1.816 -0.275 8.703" Properties=species:S:1:pos:R:3 pbc="T T T"
Ac 4.550 0.010 2.968
La 2.502 1.442 0.128
La -0.001 5.387 3.986
La -2.070 6.827 1.126
La -1.335 2.612 6.006
La -0.564 3.448 0.903
La 5.345 0.842 -2.116
La 2.869 4.780 1.646
La -3.039 7.380 4.665
Pm 0.789 6.231 -1.206
Pm 1.461 1.995 3.717
Pm 3.852 4.271 -1.932
```

The density of states at the Fermi level is 22.57 states/eV/cell. As for the space group: P1 (1). The calculated formation energy comes out at 0.44 eV/f.u.


11.
First-principles (PBE) data for a relaxed AcLa4Pm7 crystal, as listed in Alexandria.

extended XYZ file:
```
12
Lattice="6.670 -1.932 2.775 0.763 5.989 2.341 2.987 -2.439 11.252" Properties=species:S:1:pos:R:3 pbc="T T T"
Ac 0.000 0.000 0.000
La 4.303 2.696 6.599
La 6.116 -1.078 9.770
La 8.126 1.428 11.655
La 2.293 0.190 4.714
Pm 8.361 -0.888 14.485
Pm 2.058 2.506 1.884
Pm 2.741 -0.131 8.390
Pm 7.678 1.749 7.979
Pm 4.806 2.364 10.240
Pm 3.335 -0.966 1.388
Pm 5.613 -0.746 6.129
```

For the offset from the most stable computed form, the calculation gives 0.0000 eV/atom. The density of states at the Fermi level is 18.30 states/eV/cell. As for the space group: P-1 (2). The calculated formation energy comes out at 0.28 eV/f.u.


12.
First-principles (PBE) data for a relaxed AcLa8Pm5 crystal, as listed in Alexandria.

extended XYZ file:
```
14
Lattice="8.816 -0.150 0.257 -3.124 8.245 -0.257 -2.569 -4.243 7.294" Properties=species:S:1:pos:R:3 pbc="T T T"
Ac -1.284 0.903 5.406
La -1.090 5.724 0.430
La 6.170 -2.259 5.020
La 4.711 0.542 2.391
La 2.445 -0.753 6.840
La 2.040 3.649 2.099
La 0.063 3.925 6.033
La 1.104 0.315 3.106
La -2.949 4.268 3.258
Pm -0.952 2.052 0.916
Pm 4.311 6.587 1.331
Pm 3.204 2.414 5.325
Pm 3.124 -2.196 3.776
Pm -0.316 -3.347 7.017
```

The density of states at the Fermi level is 22.46 states/eV/cell. As for the space group: I-4 (82). The calculated formation energy comes out at 3.01 eV/f.u.


13.
First-principles (PBE) data for a relaxed Ac6La5Pm2 crystal, as listed in Alexandria.

extended XYZ file:
```
26
Lattice="3.800 0.000 0.000 0.000 11.570 0.000 0.000 0.000 24.183" Properties=species:S:1:pos:R:3 pbc="T T T"
Ac 0.000 1.652 9.289
Ac 0.000 9.918 14.894
Ac 0.000 7.436 2.802
Ac 0.000 4.133 21.381
Ac 1.900 3.864 3.258
Ac 1.900 7.706 20.925
Ac 1.900 9.649 8.833
Ac 1.900 1.921 15.349
Ac 0.000 6.033 9.385
Ac 0.000 5.536 14.798
Ac 0.000 0.249 2.707
Ac 0.000 11.321 21.476
La 1.900 3.854 12.007
La 1.900 7.716 12.176
La 1.900 9.639 0.085
La 1.900 1.931 24.098
La 1.900 6.757 6.092
La 1.900 4.813 18.091
La 1.900 0.972 5.999
La 1.900 10.597 18.184
La 1.900 5.785 0.000
La 1.900 0.000 12.091
Pm 0.000 3.864 6.514
Pm 0.000 7.705 17.669
Pm 0.000 9.649 5.577
Pm 0.000 1.920 18.606
```

The density of states at the Fermi level is 38.85 states/eV/cell. As for the space group: Pbam (55). The calculated formation energy comes out at 1.51 eV/f.u.


14.
First-principles (PBE) data for a relaxed Ac5La4Pm crystal, as listed in Alexandria.

extended XYZ file:
```
10
Lattice="3.881 0.000 0.000 0.000 3.881 0.000 0.000 0.000 26.949" Properties=species:S:1:pos:R:3 pbc="T T T"
Ac 1.940 1.940 2.615
Ac 1.940 1.940 8.036
Ac 1.940 1.940 13.474
Ac 1.940 1.940 18.913
Ac 1.940 1.940 24.334
La 0.000 0.000 5.310
La 0.000 0.000 10.750
La 0.000 0.000 16.199
La 0.000 0.000 21.639
Pm 0.000 0.000 0.000
```

For the offset from the most stable computed form, the calculation gives 0.0000 eV/atom. The density of states at the Fermi level is 21.03 states/eV/cell. As for the space group: P4/mmm (123). The calculated formation energy comes out at 0.27 eV/f.u.


15.
First-principles (PBE) data for a relaxed Ac3La3Pm2 crystal, as listed in Alexandria.

extended XYZ file:
```
8
Lattice="-0.797 4.690 -2.576 -2.522 -2.616 -3.984 -9.303 1.216 5.091" Properties=species:S:1:pos:R:3 pbc="T T T"
Ac -5.050 2.953 1.258
Ac -1.261 -1.308 -1.992
Ac -5.912 -0.700 0.554
La -8.676 1.954 0.560
La -3.945 1.336 -2.029
La -0.398 2.345 -1.288
Pm -7.013 0.917 3.838
Pm -2.290 0.299 1.253
```

For the offset from the most stable computed form, the calculation gives 0.0000 eV/atom. The density of states at the Fermi level is 12.98 states/eV/cell. As for the space group: Pmmm (47). The calculated formation energy comes out at 0.15 eV/f.u.


16.
First-principles (PBE) data for a relaxed Ac4La15Pm crystal, as listed in Alexandria.

extended XYZ file:
```
20
Lattice="5.335 0.000 0.000 0.000 5.335 0.000 0.000 0.000 26.750" Properties=species:S:1:pos:R:3 pbc="T T T"
Ac 0.000 0.000 5.307
Ac 0.000 0.000 10.686
Ac 0.000 0.000 16.064
Ac 0.000 0.000 21.442
La 2.668 2.668 0.000
La 2.668 2.668 5.264
La 2.668 2.668 10.680
La 2.668 2.668 16.070
La 2.668 2.668 21.486
La 2.668 0.000 2.591
La 2.668 0.000 8.008
La 2.668 0.000 13.375
La 2.668 0.000 18.742
La 2.668 0.000 24.159
La 0.000 2.668 2.591
La 0.000 2.668 8.008
La 0.000 2.668 13.375
La 0.000 2.668 18.742
La 0.000 2.668 24.159
Pm 0.000 0.000 0.000
```

The density of states at the Fermi level is 40.49 states/eV/cell. As for the space group: P4/mmm (123). The calculated formation energy comes out at 0.32 eV/f.u.


17.
First-principles (PBE) data for a relaxed AcLa4Pm7 crystal, as listed in Alexandria.

extended XYZ file:
```
12
Lattice="-3.079 2.751 -4.733 4.496 -4.874 -9.925 -5.917 -3.044 -2.087" Properties=species:S:1:pos:R:3 pbc="T T T"
Ac 0.000 0.000 0.000
La -3.964 -0.903 -6.281
La -0.536 -4.264 -10.464
La -4.085 -3.681 -11.985
La -0.415 -1.486 -4.761
Pm -1.299 -3.891 -13.919
Pm -3.201 -1.276 -2.827
Pm 1.573 -3.747 -7.368
Pm -6.073 -1.420 -9.378
Pm -3.398 -3.749 -8.304
Pm -1.540 1.375 -2.367
Pm -1.102 -1.417 -8.442
```

For the offset from the most stable computed form, the calculation gives 0.2169 eV/atom. The density of states at the Fermi level is 20.01 states/eV/cell. As for the space group: C2/m (12). The calculated formation energy comes out at 2.88 eV/f.u.


18.
First-principles (PBE) data for a relaxed AcLa6Pm3 crystal, as listed in Alexandria.

extended XYZ file:
```
10
Lattice="-4.083 7.658 5.456 -4.663 -1.975 8.913 0.701 2.395 6.793" Properties=species:S:1:pos:R:3 pbc="T T T"
Ac -7.652 5.834 14.974
La -6.100 6.483 11.980
La -4.946 0.748 11.332
La -3.201 4.584 7.222
La -1.615 1.716 9.405
La -2.758 7.312 10.069
La -4.449 3.539 14.065
Pm -2.928 4.190 11.187
Pm -5.555 3.827 9.732
Pm -1.020 2.157 5.840
```

For the offset from the most stable computed form, the calculation gives 0.0425 eV/atom. The density of states at the Fermi level is 19.53 states/eV/cell. As for the space group: R3 (146). The calculated formation energy comes out at 2.14 eV/f.u.


19.
First-principles (PBE) data for a relaxed AcLaPm2Pr2 crystal, as listed in Alexandria.

extended XYZ file:
```
12
Lattice="5.914 0.000 0.000 0.000 7.360 0.000 0.000 0.000 10.199" Properties=species:S:1:pos:R:3 pbc="T T T"
Ac 0.000 0.056 5.097
Ac 0.000 3.736 5.103
La 2.957 1.895 6.840
La 2.957 5.575 3.360
Pm 0.000 1.895 8.519
Pm 2.957 1.897 3.376
Pm 0.000 5.575 1.680
Pm 2.957 5.577 6.824
Pr 2.957 0.056 0.002
Pr 0.000 1.897 1.666
Pr 2.957 3.736 10.197
Pr 0.000 5.577 8.533
```

The density of states at the Fermi level is 17.96 states/eV/cell. As for the space group: Pmc2_1 (26). The calculated formation energy comes out at 0.29 eV/f.u.


20.
First-principles (PBE) data for a relaxed AcLaPmPr crystal, as listed in Alexandria.

extended XYZ file:
```
4
Lattice="-5.078 2.677 1.782 -4.504 -3.288 2.245 -1.332 0.326 5.852" Properties=species:S:1:pos:R:3 pbc="T T T"
Pr -2.729 -0.071 2.470
Ac -5.457 -0.143 4.939
Pm -8.186 -0.214 7.409
La 0.000 0.000 0.000
```

For the offset from the most stable computed form, the calculation gives 0.0887 eV/atom. The density of states at the Fermi level is 9.92 states/eV/cell. As for the space group: F-43m (216). The calculated formation energy comes out at 0.49 eV/f.u.